No. 1
Entry from the Alexandria database: a relaxed Np2CuS2N2 crystal (PBE-GGA).

Values from the calculation:
Fermi-level density of states = 1.860 states/eV per atom
ΔE_f (raw) = -1022 meV/atom
symmetry = P-3m1, No. 164

Cell lengths 3.806, 3.806, 10.430 Å; angles 90.00, 90.00, 120.00 degrees
Sites, in units of the cell vectors:
Np  0.667  0.333  0.364
Np  0.333  0.667  0.636
Cu  0.000  0.000  0.000
S  0.000  0.000  0.796
S  0.000  0.000  0.204
N  0.667  0.333  0.578
N  0.333  0.667  0.422

No. 2
Entry from the Alexandria database: a relaxed Np2CuSe2N2 crystal (PBE-GGA).

Values from the calculation:
Fermi-level density of states = 1.906 states/eV per atom
ΔE_f (raw) = -910 meV/atom
symmetry = P-3m1, No. 164

Cell lengths 3.815, 3.815, 11.096 Å; angles 90.00, 90.00, 120.00 degrees
Sites, in units of the cell vectors:
Np  0.667  0.333  0.373
Np  0.333  0.667  0.627
Cu  0.000  0.000  0.000
Se  0.000  0.000  0.796
Se  0.000  0.000  0.204
N  0.667  0.333  0.575
N  0.333  0.667  0.425

No. 3
Entry from the Alexandria database: a relaxed SrNp2CuN4 crystal (PBE-GGA).

Values from the calculation:
Fermi-level density of states = 1.288 states/eV per atom
ΔE_f (raw) = -892 meV/atom
symmetry = Cmcm, No. 63

Cell lengths 3.525, 5.984, 11.494 Å; angles 90.00, 90.00, 107.13 degrees
Sites, in units of the cell vectors:
Sr  0.098  0.195  0.750
Sr  0.902  0.805  0.250
Np  0.370  0.740  0.557
Np  0.630  0.260  0.057
Np  0.630  0.260  0.443
Np  0.370  0.740  0.943
Cu  0.826  0.651  0.750
Cu  0.174  0.349  0.250
N  0.255  0.511  0.099
N  0.745  0.489  0.599
N  0.745  0.489  0.901
N  0.255  0.511  0.401
N  0.000  0.000  0.500
N  0.000  0.000  0.000
N  0.427  0.854  0.750
N  0.573  0.146  0.250

No. 4
Entry from the Alexandria database: a relaxed Np2CuTe2N2 crystal (PBE-GGA).

Values from the calculation:
Fermi-level density of states = 1.853 states/eV per atom
ΔE_f (raw) = -720 meV/atom
symmetry = P-3m1, No. 164

Cell lengths 3.824, 3.824, 12.119 Å; angles 90.00, 90.00, 120.00 degrees
Sites, in units of the cell vectors:
Np  0.667  0.333  0.385
Np  0.333  0.667  0.615
Cu  0.000  0.000  0.000
Te  0.000  0.000  0.799
Te  0.000  0.000  0.201
N  0.667  0.333  0.570
N  0.333  0.667  0.430

No. 5
Entry from the Alexandria database: a relaxed Cu2NO crystal (PBE-GGA).

Values from the calculation:
Fermi-level density of states = 0.854 states/eV per atom
ΔE_f (raw) = 222 meV/atom
symmetry = I-42d, No. 122

Cell lengths 4.642, 4.642, 5.262 Å; angles 63.83, 63.83, 90.00 degrees
Sites, in units of the cell vectors:
O  0.000  0.000  0.000
O  0.750  0.250  0.500
Cu  0.605  0.125  0.250
Cu  0.145  0.625  0.250
Cu  0.375  0.395  0.750
Cu  0.875  0.855  0.750
N  0.500  0.500  0.000
N  0.250  0.750  0.500

No. 6
Entry from the Alexandria database: a relaxed CuN3O crystal (PBE-GGA).

Values from the calculation:
Fermi-level density of states = 0.463 states/eV per atom
ΔE_f (raw) = 2809 meV/atom
symmetry = Pm-3m, No. 221

Cell lengths 3.494, 3.494, 3.494 Å; angles 90.00, 90.00, 90.00 degrees
Sites, in units of the cell vectors:
O  0.000  0.000  0.000
Cu  0.500  0.500  0.500
N  0.000  0.500  0.000
N  0.000  0.000  0.500
N  0.500  0.000  0.000

No. 7
Entry from the Alexandria database: a relaxed CuN2O2 crystal (PBE-GGA).

Values from the calculation:
Fermi-level density of states = 0.380 states/eV per atom
ΔE_f (raw) = 24 meV/atom
symmetry = C2/m, No. 12

Cell lengths 3.015, 3.017, 8.893 Å; angles 91.29, 90.00, 119.97 degrees
Sites, in units of the cell vectors:
Cu  0.000  0.000  0.000
N  0.999  0.998  0.437
N  0.001  0.002  0.563
O  0.671  0.341  0.101
O  0.329  0.659  0.899

No. 8
Entry from the Alexandria database: a relaxed CuN2O2 crystal (PBE-GGA).

Values from the calculation:
Fermi-level density of states = 0.896 states/eV per atom
ΔE_f (raw) = 927 meV/atom
symmetry = I4/mmm, No. 139

Cell lengths 4.847, 4.847, 4.197 Å; angles 54.73, 54.73, 90.00 degrees
Sites, in units of the cell vectors:
O  0.750  0.250  0.500
O  0.250  0.750  0.500
Cu  0.000  0.000  0.000
N  0.384  0.384  0.231
N  0.616  0.616  0.769